No. 1
Tl2RuPb: relaxed, GGA-PBE.

Geometry as extended XYZ:
```
4
Lattice="0.0000 3.6286 3.6286 3.6286 0.0000 3.6286 3.6286 3.6286 0.0000" Properties=species:S:1:pos:R:3 pbc="T T T"
Pb 3.6286 3.6286 3.6286
Ru 0.0000 0.0000 0.0000
Tl 1.8143 1.8143 1.8143
Tl 5.4429 5.4429 5.4429
```

## Properties
Space group = Fm-3m, No. 225
Mass density = 12.5 g/cm³
DFT total energy = -3.750 eV per atom
ΔH_f (0 K) = 65.6 kJ per mole of atoms
Crystal system = cubic
Offset from the most stable computed form = 1.54 eV per formula unit

No. 2
AcErCu10: relaxed, GGA-PBE.

Geometry as extended XYZ:
```
12
Lattice="-0.0375 -3.9204 1.2314 2.2093 -1.4181 -4.4475 8.0457 1.0712 3.6552" Properties=species:S:1:pos:R:3 pbc="T T T"
Ac 5.1275 -0.1734 -0.3962
Er 0.0000 0.0000 0.0000
Cu 2.5782 0.3433 1.1713
Cu 7.8930 0.1947 0.8602
Cu 2.3621 -0.5416 -1.6525
Cu 5.4676 0.7279 2.4839
Cu 4.0041 -1.4246 2.4433
Cu 1.0859 -2.6693 -1.6080
Cu 2.4420 -2.0499 0.4051
Cu 7.7756 -2.2174 0.0340
Cu 3.5744 -2.7768 -1.8746
Cu 6.6432 -1.4906 2.3137
```

## Properties
Space group = Pmmm, No. 47
Mass density = 9.1 g/cm³
DFT total energy = -4.292 eV per atom
ΔH_f (0 K) = -15.0 kJ per mole of atoms
Crystal system = orthorhombic

No. 3
ZrGaC3: relaxed, GGA-PBE.

Geometry as extended XYZ:
```
5
Lattice="4.3815 0.0000 0.0000 0.0000 4.3815 0.0000 0.0000 0.0000 4.3815" Properties=species:S:1:pos:R:3 pbc="T T T"
C 0.0000 2.1908 0.0000
C 0.0000 0.0000 2.1908
C 2.1908 0.0000 0.0000
Ga 2.1908 2.1908 2.1908
Zr 0.0000 0.0000 0.0000
```

## Properties
Space group = Pm-3m, No. 221
Mass density = 3.9 g/cm³
DFT total energy = -5.762 eV per atom
ΔH_f (0 K) = 201.4 kJ per mole of atoms
Crystal system = cubic
Offset from the most stable computed form = 1.45 eV per formula unit